No. 1
CsCuSbTe2 at its PBEsol-relaxed geometry, computed with meta-GGA SCAN.

Structure (POSCAR):
```
CsCuSbTe2
1.0
-2.244 -1.602 -5.526
-2.584 -4.953 2.486
-5.076 3.216 1.129
Sb Cu Te Cs
1 1 2 1
Direct
0.500 0.000 0.000
0.500 0.500 0.500
0.000 0.000 0.500
0.000 0.500 0.000
0.000 0.000 0.000
```

Calculated values
D(E_F): 1.084 states/eV/atom
Symmetry: P4/mmm (123)
Formation energy from raw total energies: 1.72 eV per atom
VASP energy: -31.239 eV/atom
Magnetization: 1.69 μB/f.u.



No. 2
CsSc3Cu at its PBEsol-relaxed geometry, computed with meta-GGA SCAN.

Structure (POSCAR):
```
CsSc3Cu
1.0
5.164 0.000 0.000
0.000 5.164 0.000
0.000 0.000 5.164
Sc Cu Cs
3 1 1
Direct
0.000 0.500 0.000
0.000 0.000 0.500
0.500 0.000 0.000
0.000 0.000 0.000
0.500 0.500 0.500
```

Calculated values
ΔE_f: 2.44 eV/f.u.
D(E_F): 1.672 states/eV/atom
Symmetry: Pm-3m (221)
VASP energy: -18.656 eV/atom
Magnetization: 0.00 μB/f.u.



No. 3
CsSc3Cu2Te6 at its PBEsol-relaxed geometry, computed with meta-GGA SCAN.

Structure (POSCAR):
```
CsSc3Cu2Te6
1.0
-1.758 3.349 -1.566
-4.110 -6.726 -4.420
-4.307 1.954 9.017
Cu Sc Te Cs
2 3 6 1
Direct
0.725 0.450 0.916
0.275 0.550 0.084
0.000 0.000 0.500
0.710 0.421 0.632
0.290 0.579 0.368
0.861 0.722 0.582
0.427 0.855 0.283
0.702 0.403 0.150
0.139 0.278 0.418
0.573 0.145 0.717
0.298 0.597 0.850
0.000 0.000 0.000
```

Calculated values
D(E_F): 0.027 states/eV/atom
Symmetry: C2/m (12)
Formation energy from raw total energies: -1.09 eV per atom
VASP energy: -28.962 eV/atom
Magnetization: 0.00 μB/f.u.



No. 4
CsCu3Se at its PBEsol-relaxed geometry, computed with meta-GGA SCAN.

Structure (POSCAR):
```
CsCu3Se
1.0
4.884 0.000 0.000
0.000 4.884 0.000
0.000 0.000 4.884
Cu Cs Se
3 1 1
Direct
0.000 0.000 0.500
0.000 0.500 0.000
0.500 0.000 0.000
0.500 0.500 0.500
0.000 0.000 0.000
```

Calculated values
D(E_F): 0.577 states/eV/atom
Symmetry: Pm-3m (221)
Formation energy from raw total energies: 0.48 eV per atom
VASP energy: -20.213 eV/atom
Magnetization: 0.00 μB/f.u.



No. 5
Cs2Cu5Se4 at its PBEsol-relaxed geometry, computed with meta-GGA SCAN.

Structure (POSCAR):
```
Cs2Cu5Se4
1.0
3.946 0.000 0.000
-1.973 9.534 0.000
0.000 0.000 12.967
Cu Se Cs
10 8 4
Direct
0.214 0.428 0.951
0.214 0.428 0.549
0.350 0.701 0.343
0.650 0.299 0.843
0.786 0.572 0.049
0.786 0.572 0.451
0.913 0.825 0.250
0.087 0.175 0.750
0.650 0.299 0.657
0.350 0.701 0.157
0.342 0.684 0.977
0.212 0.423 0.750
0.788 0.577 0.250
0.658 0.316 0.477
0.478 0.957 0.250
0.522 0.043 0.750
0.342 0.684 0.523
0.658 0.316 0.023
0.000 0.000 0.500
0.138 0.276 0.250
0.862 0.724 0.750
0.000 0.000 0.000
```

Calculated values
D(E_F): 0.432 states/eV/atom
Symmetry: Cmcm (63)
Formation energy from raw total energies: -0.56 eV per atom
VASP energy: -21.642 eV/atom
Magnetization: 0.00 μB/f.u.



No. 6
CsSm2CuSe4 at its PBEsol-relaxed geometry, computed with meta-GGA SCAN.

Structure (POSCAR):
```
CsSm2CuSe4
1.0
4.152 0.000 0.000
-2.076 7.309 0.000
0.000 0.000 14.380
Cu Cs Sm Se
2 2 4 8
Direct
0.165 0.330 0.250
0.835 0.670 0.750
0.893 0.787 0.250
0.107 0.213 0.750
0.366 0.731 0.562
0.634 0.269 0.062
0.634 0.269 0.438
0.366 0.731 0.938
0.000 0.000 0.000
0.576 0.153 0.250
0.424 0.847 0.750
0.000 0.000 0.500
0.740 0.480 0.889
0.260 0.520 0.111
0.260 0.520 0.389
0.740 0.480 0.611
```

Calculated values
Symmetry: Cmcm (63)
Formation energy from raw total energies: -1.71 eV per atom
VASP energy: -29.485 eV/atom
Magnetization: 0.00 μB/f.u.



No. 7
CsTiCu3Se4 at its PBEsol-relaxed geometry, computed with meta-GGA SCAN.

Structure (POSCAR):
```
CsTiCu3Se4
1.0
5.720 0.000 0.004
0.000 7.646 0.000
-2.847 0.000 9.721
Cs Se Ti Cu
2 8 2 6
Direct
0.803 0.750 0.619
0.197 0.250 0.381
0.388 0.992 0.787
0.612 0.492 0.213
0.197 0.750 0.394
0.973 0.750 0.991
0.803 0.250 0.606
0.612 0.008 0.213
0.027 0.250 0.009
0.388 0.508 0.787
0.852 0.750 0.204
0.148 0.250 0.796
0.721 0.489 0.998
0.346 0.750 0.195
0.279 0.989 0.002
0.721 0.011 0.998
0.279 0.511 0.002
0.654 0.250 0.805
```

Calculated values
Symmetry: P2_1/m (11)
Formation energy from raw total energies: -0.84 eV per atom
VASP energy: -20.817 eV/atom
Magnetization: 0.00 μB/f.u.



No. 8
CsCuSi3 at its PBEsol-relaxed geometry, computed with meta-GGA SCAN.

Structure (POSCAR):
```
CsCuSi3
1.0
4.779 0.000 0.000
0.000 4.779 0.000
0.000 0.000 4.779
Si Cs Cu
3 1 1
Direct
0.000 0.500 0.000
0.000 0.000 0.500
0.500 0.000 0.000
0.500 0.500 0.500
0.000 0.000 0.000
```

Calculated values
D(E_F): 0.598 states/eV/atom
Symmetry: Pm-3m (221)
Formation energy from raw total energies: 0.93 eV per atom
VASP energy: -15.680 eV/atom
Magnetization: 0.00 μB/f.u.



No. 9
CsSr2Cu at its PBEsol-relaxed geometry, computed with meta-GGA SCAN.

Structure (POSCAR):
```
CsSr2Cu
1.0
-4.438 0.190 -3.869
1.099 -0.474 -5.768
-1.582 -4.872 -2.910
Sr Cu Cs
2 1 1
Direct
0.750 0.750 0.750
0.250 0.250 0.250
0.000 0.000 0.000
0.500 0.500 0.500
```

Calculated values
ΔE_f: 1.85 eV/f.u.
D(E_F): 1.079 states/eV/atom
Symmetry: Fm-3m (225)
VASP energy: -23.927 eV/atom
Magnetization: 0.00 μB/f.u.



No. 10
CsSrCu3 at its PBEsol-relaxed geometry, computed with meta-GGA SCAN.

Structure (POSCAR):
```
CsSrCu3
1.0
5.444 0.000 0.000
0.000 5.444 0.000
0.000 0.000 5.444
Sr Cu Cs
1 3 1
Direct
0.500 0.500 0.500
0.000 0.500 0.000
0.000 0.000 0.500
0.500 0.000 0.000
0.000 0.000 0.000
```

Calculated values
ΔE_f: 6.55 eV/f.u.
D(E_F): 0.382 states/eV/atom
Symmetry: Pm-3m (221)
VASP energy: -19.826 eV/atom
Magnetization: 0.00 μB/f.u.



No. 11
CsTaCu2Te4 at its PBEsol-relaxed geometry, computed with meta-GGA SCAN.

Structure (POSCAR):
```
CsTaCu2Te4
1.0
-0.972 5.690 1.337
-7.823 -0.852 -2.061
-4.505 -5.302 19.294
Te Cu Ta Cs
16 8 4 4
Direct
0.516 0.444 0.149
0.007 0.693 0.044
0.016 0.556 0.851
0.516 0.944 0.351
0.997 0.711 0.252
0.515 0.969 0.144
0.497 0.289 0.748
0.015 0.531 0.644
0.497 0.789 0.752
0.515 0.469 0.356
0.997 0.211 0.248
0.507 0.307 0.956
0.507 0.807 0.544
0.007 0.193 0.456
0.016 0.056 0.649
0.015 0.031 0.856
0.760 0.706 0.147
0.760 0.206 0.353
0.260 0.294 0.853
0.266 0.961 0.248
0.766 0.539 0.748
0.266 0.461 0.252
0.766 0.039 0.752
0.260 0.794 0.647
0.759 0.294 0.852
0.259 0.706 0.148
0.259 0.206 0.352
0.759 0.794 0.648
0.516 0.295 0.562
0.016 0.205 0.062
0.016 0.705 0.438
0.516 0.795 0.938
```

Calculated values
Symmetry: Pna2_1 (33)
Formation energy from raw total energies: -0.53 eV per atom
VASP energy: -36.001 eV/atom
Magnetization: 0.00 μB/f.u.



No. 12
CsCuTe2 at its PBEsol-relaxed geometry, computed with meta-GGA SCAN.

Structure (POSCAR):
```
CsCuTe2
1.0
-1.916 2.634 5.070
-5.702 -0.542 -1.873
3.314 -8.409 2.039
Cs Te Cu
2 4 2
Direct
0.250 0.750 0.500
0.000 0.000 0.000
0.625 0.428 0.750
0.572 0.875 0.250
0.125 0.322 0.750
0.678 0.375 0.250
0.750 0.250 0.500
0.500 0.500 0.000
```

Calculated values
D(E_F): 0.093 states/eV/atom
Symmetry: I-42d (122)
Formation energy from raw total energies: -0.49 eV per atom
VASP energy: -32.372 eV/atom
Magnetization: 0.00 μB/f.u.